! Pa4TcIr PBE optimized geometry; values from VASP
&SYSTEM
  ibrav = 0, nat = 12, ntyp = 3
/
ATOMIC_SPECIES
Pa 231.04 Pa.upf
Tc 98.00 Tc.upf
Ir 192.22 Ir.upf
ATOMIC_POSITIONS angstrom
Pa -1.786 -5.022 -5.383
Tc -0.307 -0.563 -4.767
Ir 1.238 -4.348 -1.323
Pa 1.532 -2.303 -5.398
Pa -0.691 -6.175 -0.561
Pa -1.568 -1.225 -7.108
Pa -0.473 -2.378 -2.286
Pa -3.791 -5.097 -2.272
Pa -3.475 -1.358 -4.104
Pa 1.216 -6.042 -3.565
Tc 0.000 0.000 0.000
Ir -3.191 -2.489 -1.579
CELL_PARAMETERS angstrom
-4.736 1.296 -5.024
4.122 -2.422 -4.510
-1.646 -6.274 1.865
! N(E_F) in states/eV per atom: 1.922
! Energy relative to the elements in eV/f.u.: -0.28
! M_tot in μB per cell: 0.00
! Electronic total energy in eV per atom: -9.581
! Space group: P2_1/c (14)